Computed, not measured: a relaxed structure of Ba2Mn2InO6 at the PBE+U level of DFT.

Crystal system: trigonal
Space group: No. 166
D(E_F) in states/eV/f.u.: 5.85
Uncorrected energy in eV/atom: -6.439

Unit cell a=6.7843 b=6.7843 c=6.7843 alpha=53.77 beta=53.77 gamma=53.77
Positions (direct):
Ba  0.2087  0.2087  0.2087
Ba  0.7913  0.7913  0.7913
Mn  0.4116  0.4116  0.4116
Mn  0.5884  0.5884  0.5884
In  0.0000  0.0000  0.0000
O  0.2261  0.7605  0.7605
O  0.2395  0.2395  0.7739
O  0.2395  0.7739  0.2395
O  0.7605  0.2261  0.7605
O  0.7605  0.7605  0.2261
O  0.7739  0.2395  0.2395

***

Computed, not measured: a relaxed structure of Ba2MnInO5 at the PBE+U level of DFT.

Crystal system: orthorhombic
Space group: No. 36
Uncorrected energy in eV/atom: -6.308

Unit cell a=8.1077 b=8.1077 c=10.3804 alpha=90.00 beta=90.00 gamma=154.20
Positions (direct):
Ba  0.1148  0.8852  0.5000
Ba  0.1158  0.8842  0.8774
Ba  0.8842  0.1158  0.3774
Ba  0.8852  0.1148  0.0000
Mn  0.4324  0.5676  0.6620
Mn  0.5676  0.4324  0.1620
In  0.2143  0.7857  0.1861
In  0.7857  0.2143  0.6861
O  0.0471  0.9529  0.2091
O  0.3050  0.6950  0.5470
O  0.3320  0.6680  0.8018
O  0.3446  0.6554  0.1950
O  0.4896  0.5104  0.5023
O  0.5104  0.4896  0.0023
O  0.6554  0.3446  0.6950
O  0.6680  0.3320  0.3018
O  0.6950  0.3050  0.0470
O  0.9529  0.0471  0.7091